! LiPbBr2 PBEsol optimized geometry; values from VASP
&SYSTEM
  ibrav = 0, nat = 4, ntyp = 3
/
ATOMIC_SPECIES
Br 79.90 Br.upf
Li 6.94 Li.upf
Pb 207.20 Pb.upf
ATOMIC_POSITIONS crystal
Br 0.792 0.585 0.809
Br 0.208 0.415 0.191
Li 0.500 0.000 0.000
Pb 0.000 0.000 0.500
CELL_PARAMETERS angstrom
3.657 0.000 0.000
-1.828 3.258 -0.042
0.000 -1.306 8.176
! **Theoretical density**: 6.4 g/cm3
! **E_form (uncorrected)**: -92.2 kJ/mol of atoms
! **E_tot**: -3.3816 eV/atom